# ReOs3 meta-GGA SCAN PBEsol geometry
data_ReOs3
_chemical_formula_sum 'Re1 Os3'
_space_group_name_H-M_alt 'P 1'
_space_group_IT_number 1
_space_group_name_Hall 'P 1'
_cell_length_a 2.7404
_cell_length_b 4.3290
_cell_length_c 4.7511
_cell_angle_alpha 90.00
_cell_angle_beta 90.00
_cell_angle_gamma 90.00
loop_
_atom_site_label
_atom_site_fract_x
_atom_site_fract_y
_atom_site_fract_z
_atom_site_occupancy
Re1 0.0000 0.0000 0.0000 1
Os1 0.0000 0.5000 0.6683 1
Os2 0.5000 0.0000 0.5063 1
Os3 0.5000 0.5000 0.1706 1
# ΔE to the lowest computed polymorph = 0.013 eV per atom
# N(E_F) = 2.40 states/eV/f.u.
# SG = Pmm2, No. 25
# VASP energy = -71.7647 eV/atom
# ΔH_f (0 K) = -80 meV per atom
# crystal system = orthorhombic

***

# HgPt3 meta-GGA SCAN PBEsol geometry
data_HgPt3
_chemical_formula_sum 'Hg1 Pt3'
_space_group_name_H-M_alt 'P 1'
_space_group_IT_number 1
_space_group_name_Hall 'P 1'
_cell_length_a 4.8839
_cell_length_b 4.8839
_cell_length_c 4.9126
_cell_angle_alpha 99.22
_cell_angle_beta 99.22
_cell_angle_gamma 33.74
loop_
_atom_site_label
_atom_site_fract_x
_atom_site_fract_y
_atom_site_fract_z
_atom_site_occupancy
Hg1 0.0000 0.0000 0.0000 1
Pt1 0.2473 0.2473 0.7413 1
Pt2 0.5000 0.5000 0.5000 1
Pt3 0.7527 0.7527 0.2587 1
# N(E_F) = 3.89 states/eV/f.u.
# SG = C2/m, No. 12
# VASP energy = -69.5738 eV/atom
# ΔH_f (0 K) = 113 meV per atom
# crystal system = monoclinic